A relaxed CsPa2AgSe5 crystal. Source: Alexandria, functional PBE.

space group	I4/mcm, No. 140

Cell: 7.994 7.994 9.712 Å, 114.30 114.30 90.00°
Atoms (fractional coordinates):
Se 0.030 0.530 0.771
Cs 0.250 0.250 0.500
Pa 0.658 0.158 0.000
Se 0.260 0.760 0.229
Cs 0.750 0.750 0.500
Se 0.470 0.260 0.229
Pa 0.158 0.342 0.000
Se 0.530 0.740 0.771
Se 0.500 0.500 0.000
Se 0.740 0.240 0.771
Se 0.000 0.000 0.000
Pa 0.842 0.658 0.000
Se 0.760 0.970 0.229
Ag 0.250 0.750 0.500
Ag 0.750 0.250 0.500
Pa 0.342 0.842 0.000
Se 0.970 0.470 0.229
Se 0.240 0.030 0.771

A relaxed CsPaAg2Se4 crystal. Source: Alexandria, functional PBE.

space group	I222, No. 23

Cell: 6.879 7.229 7.229 Å, 71.50 61.59 61.59°
Atoms (fractional coordinates):
Se 0.882 0.516 0.144
Se 0.459 0.144 0.516
Se 0.118 0.856 0.484
Se 0.541 0.484 0.856
Cs 0.000 0.000 0.000
Pa 0.500 0.500 0.500
Ag 0.152 0.348 0.348
Ag 0.848 0.652 0.652

A relaxed CsPaAgSe4 crystal. Source: Alexandria, functional PBE.

space group	P2_1/m, No. 11

Cell: 7.380 5.822 10.323 Å, 90.00 108.85 90.00°
Atoms (fractional coordinates):
Ag 0.740 0.250 0.686
Ag 0.260 0.750 0.314
Se 0.029 0.514 0.679
Cs 0.236 0.250 0.046
Se 0.561 0.250 0.419
Se 0.971 0.486 0.321
Se 0.495 0.750 0.181
Se 0.971 0.014 0.321
Pa 0.269 0.250 0.553
Se 0.439 0.750 0.581
Se 0.029 0.986 0.679
Cs 0.764 0.750 0.954
Pa 0.731 0.750 0.447
Se 0.505 0.250 0.819

A relaxed Cs2PaAg2Se4 crystal. Source: Alexandria, functional PBE.

space group	C2/m, No. 12

Cell: 4.350 8.565 8.210 Å, 107.88 105.36 90.00°
Atoms (fractional coordinates):
Ag 0.320 0.017 0.639
Se 0.189 0.177 0.377
Cs 0.863 0.429 0.727
Se 0.488 0.221 0.975
Pa 0.000 0.000 0.000
Se 0.512 0.779 0.025
Cs 0.137 0.571 0.273
Ag 0.680 0.983 0.361
Se 0.811 0.823 0.623

| no. | calculated total energy (eV per atom) | M_tot (μB per cell) |
| --- | --- | --- |
| 1 | -5.643 | 3.80 |
| 2 | -4.493 | 0.00 |
| 3 | -4.871 | 0.00 |
| 4 | -4.429 | 1.00 |